Below is crystalline FeNi4Pd15 at its relaxed geometry, with properties calculated at the PBE-GGA level.

Structure (CIF):
```
data_FeNi4Pd15
_space_group_name_H-M_alt 'P 4/m m m'
_space_group_IT_number 123
_space_group_name_Hall '-P 4 2'
_cell_length_a 3.872
_cell_length_b 3.872
_cell_length_c 19.362
_cell_angle_alpha 90.00
_cell_angle_beta 90.00
_cell_angle_gamma 90.00
loop_
_atom_site_label
_atom_site_type_symbol
_atom_site_fract_x
_atom_site_fract_y
_atom_site_fract_z
Fe1 Fe 0.000 0.000 0.000
Ni1 Ni 0.000 0.000 0.202
Ni2 Ni 0.000 0.000 0.400
Pd1 Pd 0.000 0.500 0.100
Pd2 Pd 0.000 0.500 0.301
Pd3 Pd 0.000 0.500 0.500
Pd4 Pd 0.500 0.500 0.000
Pd5 Pd 0.500 0.500 0.200
Pd6 Pd 0.500 0.500 0.401
```

## Properties
Crystal system: tetragonal
Uncorrected energy in eV for the cell shown: -109.44
V in A^3/atom: 14.5
Formation energy from the elements in meV per atom: 2